This record from the Alexandria database describes an optimized crystal structure of NiMo2HOs. The functional is PBE-GGA.

Summary:
**ΔE to the lowest computed polymorph**: 0.066 eV/atom
**Density**: 12.3 g/cm³
**E_tot**: -8.306 eV per atom

Cell: 3.915 3.915 3.882 Å, 90.00 90.00 90.00°
Fractional positions:
1 Mo 0.500 0.000 0.000
2 Mo 0.000 0.500 0.000
3 Ni 0.500 0.500 0.500
4 Os 0.000 0.000 0.500
5 H 0.000 0.000 0.000



This record from the Alexandria database describes an optimized crystal structure of Rb3NdY2S6. The functional is PBE-GGA.

Summary:
**ΔE_f (raw)**: -1.85 eV/atom
**Density**: 3.7 g/cm³
**E_tot**: -5.626 eV per atom

Cell: 7.157 7.157 8.064 Å, 98.51 98.51 120.00°
Fractional positions:
1 Rb 0.834 0.166 0.500
2 S 0.723 0.723 0.194
3 S 0.406 0.065 0.194
4 Rb 0.166 0.834 0.500
5 Y 0.667 0.333 0.000
6 Y 0.333 0.667 0.000
7 S 0.277 0.277 0.806
8 S 0.594 0.935 0.806
9 Nd 0.000 0.000 0.000
10 S 0.935 0.594 0.806
11 Rb 0.500 0.500 0.500
12 S 0.065 0.406 0.194



This record from the Alexandria database describes an optimized crystal structure of CaPu3Pt2. The functional is PBE-GGA.

Summary:
**Energy of formation from the pure elements**: -0.517 eV per atom
**Density**: 12.9 g/cm³
**E_tot**: -10.030 eV per atom

Cell: 4.336 7.595 9.101 Å, 90.00 90.00 90.00°
Fractional positions:
1 Pt 0.500 0.752 0.864
2 Pu 0.500 0.648 0.171
3 Ca 0.500 0.024 0.420
4 Pu 0.000 0.473 0.925
5 Ca 0.500 0.524 0.580
6 Pu 0.500 0.148 0.829
7 Pt 0.500 0.252 0.136
8 Pt 0.000 0.740 0.374
9 Pt 0.000 0.240 0.626
10 Pu 0.000 0.363 0.319
11 Pu 0.000 0.863 0.681
12 Pu 0.000 0.973 0.075



This record from the Alexandria database describes an optimized crystal structure of Tc2BC. The functional is PBE-GGA.

Summary:
**Energy of formation from the pure elements**: 0.594 eV per atom
**ΔE to the lowest computed polymorph**: 0.000 eV/atom
**Density**: 9.1 g/cm³
**E_tot**: -8.564 eV per atom

Cell: 3.831 3.831 3.831 Å, 60.00 60.00 60.00°
Fractional positions:
1 C 0.500 0.500 0.500
2 Tc 0.750 0.750 0.750
3 Tc 0.250 0.250 0.250
4 B 0.000 0.000 0.000



This record from the Alexandria database describes an optimized crystal structure of CdSb2Ir2. The functional is PBE-GGA.

Summary:
**ΔE_f (raw)**: 0.23 eV/atom
**ΔE to the lowest computed polymorph**: 0.202 eV/atom
**Density**: 11.1 g/cm³
**E_tot**: -5.148 eV per atom

Cell: 4.396 4.396 6.498 Å, 70.23 70.23 90.00°
Fractional positions:
1 Cd 0.000 0.000 0.000
2 Ir 0.385 0.385 0.230
3 Sb 0.750 0.250 0.500
4 Ir 0.615 0.615 0.770
5 Sb 0.250 0.750 0.500



This record from the Alexandria database describes an optimized crystal structure of HoErGe2. The functional is PBE-GGA.

Summary:
**Energy of formation from the pure elements**: -0.859 eV per atom
**ΔE to the lowest computed polymorph**: 0.000 eV/atom
**Density**: 8.9 g/cm³
**E_tot**: -5.453 eV per atom

Cell: 4.247 3.950 5.739 Å, 90.00 111.74 90.00°
Fractional positions:
1 Ge 0.997 0.000 0.532
2 Ge 0.169 0.500 0.877
3 Ho 0.720 0.000 0.980
4 Er 0.445 0.500 0.429



This record from the Alexandria database describes an optimized crystal structure of Pm2CdPdO5. The functional is PBE-GGA.

Summary:
**ΔE_f (raw)**: -2.01 eV/atom
**Density**: 7.5 g/cm³
**E_tot**: -6.500 eV per atom

Cell: 5.777 6.714 6.714 Å, 90.00 90.00 90.00°
Fractional positions:
1 O 0.749 0.644 0.856
2 O 0.251 0.856 0.356
3 O 0.251 0.644 0.856
4 O 0.749 0.144 0.644
5 Pm 0.500 0.328 0.828
6 Pm 0.500 0.172 0.328
7 O 0.500 0.500 0.500
8 Cd 0.000 0.000 0.000
9 Cd 0.000 0.500 0.500
10 Pd 0.000 0.000 0.500
11 O 0.251 0.144 0.644
12 Pd 0.000 0.500 0.000
13 O 0.749 0.856 0.356
14 Pm 0.500 0.672 0.172
15 O 0.500 0.000 0.000
16 O 0.749 0.356 0.144
17 O 0.251 0.356 0.144
18 Pm 0.500 0.828 0.672